The following is a PBE calculation of a relaxed PmSn2F11 crystal, from Alexandria.

Energy relative to the elements, uncorrected (eV/atom): -2.89
M_tot (μB/f.u.): 0.00

```
PmSn2F11
1.0
-3.8920 4.9930 5.4348
3.8920 -4.9930 5.4348
3.8920 4.9930 -5.4348
Pm Sn F
2 4 22
direct
0.2500 0.2500 0.0000
0.7500 0.7500 0.0000
0.1811 0.6378 0.8189
0.3189 0.1378 0.4566
0.6811 0.8622 0.5434
0.8189 0.3622 0.1811
0.0000 0.5000 0.5000
0.0478 0.9618 0.2854
0.0567 0.3682 0.1632
0.1764 0.4618 0.9140
0.2050 0.8935 0.8368
0.2154 0.3707 0.5861
0.2846 0.8707 0.1553
0.2950 0.1318 0.6885
0.3236 0.2376 0.2854
0.4433 0.6065 0.3115
0.4522 0.7376 0.9140
0.5000 0.0000 0.5000
0.5478 0.2624 0.0860
0.5567 0.3935 0.6885
0.6764 0.7624 0.7146
0.7050 0.8682 0.3115
0.7154 0.1293 0.8447
0.7846 0.6293 0.4139
0.7950 0.1065 0.1632
0.8236 0.5382 0.0860
0.9433 0.6318 0.8368
0.9522 0.0382 0.7146
```